Density functional theory data (PBE) for crystalline Co2PbSe at its relaxed geometry.

DOS(E_F) ... 1.009 states/eV per atom
Polymorph energy (0 for the lowest one) ... 0.2397 eV per atom
Raw formation energy ... 0.2975 eV per atom

abc: 3.7070 3.9245 5.2395
angles: 90.00 90.00 90.00
Closest atoms and distances in Å follow each position.
Atoms (fractional coordinates):
Co 0.0000 0.0000 0.2282  2 Se 2.34, 1 Co 2.39
Co 0.0000 0.0000 0.7718  2 Se 2.34, 1 Co 2.39
Pb 0.5000 0.5000 0.0000  8 Co 2.95, 4 Se 3.27
Se 0.5000 0.0000 0.5000  4 Co 2.34